No. 1
The following is a DFT calculation (PBE) of a relaxed Li6PmZn2 crystal.

- size of the total moment (μB/f.u.) = 0.0
- ΔE_f (meV per atom) = -87
- final energy (eV/atom) = -2.174
- density (Mg/m³) = 2.91
- calculated volume (Å³ per atom) = 20.11
- Fermi-level density of states (states/eV per cell) = 5.34

abc: 4.0760 4.0760 10.8920
angles: 90.00 90.00 90.00
Closest atoms and distances in Å follow each position.
Fractional coordinates of all 9 atoms:
Li: 0.0000 0.0000 0.0000  12 Li 2.88-3.10
Li: 0.0000 0.5000 0.2143  2 Zn 2.70, 4 Li 2.88
Li: 0.0000 0.5000 0.7857  2 Zn 2.70, 4 Li 2.88
Li: 0.5000 0.0000 0.2143  2 Zn 2.70, 4 Li 2.88
Li: 0.5000 0.0000 0.7857  2 Zn 2.70, 4 Li 2.88
Li: 0.5000 0.5000 0.0000  12 Li 2.88-3.10
Pm: 0.0000 0.0000 0.5000  8 Zn 3.18
Zn: 0.5000 0.5000 0.3773  1 Zn 2.67, 4 Li 2.70
Zn: 0.5000 0.5000 0.6227  1 Zn 2.67, 4 Li 2.70


No. 2
The following is a DFT calculation (PBE) of a relaxed Tb2Ce3In4 crystal.

- size of the total moment (μB/f.u.) = 3.1
- ΔE_f (meV per atom) = -326
- final energy (eV/atom) = -4.550
- density (Mg/m³) = 7.90
- calculated volume (Å³ per atom) = 27.96
- Fermi-level density of states (states/eV per cell) = 20.89

abc: 5.3331 5.3331 10.2147
angles: 90.00 90.00 120.00
Closest atoms and distances in Å follow each position.
Fractional coordinates of all 9 atoms:
Tb: 0.3333 0.6667 0.2789  7 In 3.29-3.35, 1 Ce 3.50
Tb: 0.6667 0.3333 0.7211  7 In 3.29-3.35, 1 Ce 3.50
Ce: 0.0000 0.0000 0.5000  8 In 3.27-3.50
Ce: 0.3333 0.6667 0.9367  4 In 3.23-3.37, 3 Ce 3.34, 1 Tb 3.50
Ce: 0.6667 0.3333 0.0633  4 In 3.23-3.37, 3 Ce 3.34, 1 Tb 3.50
In: 0.0000 0.0000 0.1575  1 In 3.22, 4 Ce 3.23-3.50, 3 Tb 3.32
In: 0.0000 0.0000 0.8425  1 In 3.22, 4 Ce 3.23-3.50, 3 Tb 3.32
In: 0.3333 0.6667 0.6066  4 Ce 3.27-3.37, 4 Tb 3.29-3.35
In: 0.6667 0.3333 0.3934  4 Ce 3.27-3.37, 4 Tb 3.29-3.35


No. 3
The following is a DFT calculation (PBE) of a relaxed MgAl6Ga2 crystal.

- size of the total moment (μB/f.u.) = 0.0
- ΔE_f (meV per atom) = 3
- final energy (eV/atom) = -3.341
- density (Mg/m³) = 3.47
- calculated volume (Å³ per atom) = 17.33
- Fermi-level density of states (states/eV per cell) = 3.27

abc: 6.6194 6.6194 6.3642
angles: 108.21 108.21 36.31
Closest atoms and distances in Å follow each position.
Fractional coordinates of all 9 atoms:
Mg: 0.0000 0.0000 0.0000  4 Ga 2.87, 8 Al 2.94-2.98
Al: 0.1143 0.1143 0.6593  7 Al 2.85-2.92, 4 Ga 2.85-3.00, 1 Mg 2.97
Al: 0.2266 0.2266 0.3335  8 Al 2.82-2.88, 3 Ga 2.85-2.96, 1 Mg 2.94
Al: 0.3288 0.3288 0.9992  8 Al 2.82-2.91, 2 Ga 2.91-2.96, 2 Mg 2.98
Al: 0.6712 0.6712 0.0008  8 Al 2.82-2.91, 2 Ga 2.91-2.96, 2 Mg 2.98
Al: 0.7734 0.7734 0.6665  8 Al 2.82-2.88, 3 Ga 2.85-2.96, 1 Mg 2.94
Al: 0.8857 0.8857 0.3407  7 Al 2.85-2.92, 4 Ga 2.85-3.00, 1 Mg 2.97
Ga: 0.4426 0.4426 0.6684  9 Al 2.85-3.00, 2 Mg 2.87, 1 Ga 2.95
Ga: 0.5574 0.5574 0.3316  9 Al 2.85-3.00, 2 Mg 2.87, 1 Ga 2.95


No. 4
The following is a DFT calculation (PBE) of a relaxed Nd3Sm2Pb2 crystal.

- size of the total moment (μB/f.u.) = 0.1
- ΔE_f (meV per atom) = -172
- final energy (eV/atom) = -4.624
- density (Mg/m³) = 8.32
- calculated volume (Å³ per atom) = 32.72
- Fermi-level density of states (states/eV per cell) = 16.88

abc: 17.2829 3.5955 8.2150
angles: 90.00 116.18 90.00
Closest atoms and distances in Å follow each position.
Fractional coordinates of all 14 atoms:
Nd: 0.0000 0.0000 0.0000  4 Nd 3.31-3.60, 4 Pb 3.34, 2 Sm 3.49
Nd: 0.2121 0.0000 0.1473  5 Nd 3.31-3.69, 3 Pb 3.37-3.49, 3 Sm 3.65-3.67
Nd: 0.2879 0.5000 0.8527  5 Nd 3.31-3.69, 3 Pb 3.37-3.49, 3 Sm 3.65-3.67
Nd: 0.5000 0.5000 0.0000  4 Nd 3.31-3.60, 4 Pb 3.34, 2 Sm 3.49
Nd: 0.7121 0.5000 0.1473  5 Nd 3.31-3.69, 3 Pb 3.37-3.49, 3 Sm 3.65-3.67
Nd: 0.7879 0.0000 0.8527  5 Nd 3.31-3.69, 3 Pb 3.37-3.49, 3 Sm 3.65-3.67
Sm: 0.1199 0.0000 0.4702  4 Pb 3.33-3.57, 4 Nd 3.49-3.67, 2 Sm 3.60
Sm: 0.3801 0.5000 0.5298  4 Pb 3.33-3.57, 4 Nd 3.49-3.67, 2 Sm 3.60
Sm: 0.6199 0.5000 0.4702  4 Pb 3.33-3.57, 4 Nd 3.49-3.67, 2 Sm 3.60
Sm: 0.8801 0.0000 0.5298  4 Pb 3.33-3.57, 4 Nd 3.49-3.67, 2 Sm 3.60
Pb: 0.0776 0.5000 0.7621  4 Sm 3.33-3.57, 5 Nd 3.34-3.49, 2 Pb 3.60
Pb: 0.4224 0.0000 0.2379  4 Sm 3.33-3.57, 5 Nd 3.34-3.49, 2 Pb 3.60
Pb: 0.5776 0.0000 0.7621  4 Sm 3.33-3.57, 5 Nd 3.34-3.49, 2 Pb 3.60
Pb: 0.9224 0.5000 0.2379  4 Sm 3.33-3.57, 5 Nd 3.34-3.49, 2 Pb 3.60


No. 5
The following is a DFT calculation (PBE) of a relaxed Cu4RhBr crystal.

- formation energy without anion corrections (meV per atom) = 379
- size of the total moment (μB/f.u.) = 0.0
- final energy (eV/atom) = -3.855
- density (Mg/m³) = 8.49
- calculated volume (Å³ per atom) = 14.25
- Fermi-level density of states (states/eV per cell) = 1.93

abc: 4.9453 4.9453 4.9453
angles: 60.00 60.00 60.00
Closest atoms and distances in Å follow each position.
Fractional coordinates of all 6 atoms:
Cu: 0.1240 0.1240 0.1240  6 Cu 2.45-2.49
Cu: 0.1240 0.1240 0.6281  6 Cu 2.45-2.49
Cu: 0.1240 0.6281 0.1240  6 Cu 2.45-2.49
Cu: 0.6281 0.1240 0.1240  6 Cu 2.45-2.49
Rh: 0.7500 0.7500 0.7500  12 Cu 2.90, 4 Br 3.03
Br: 0.5000 0.5000 0.5000  12 Cu 2.90, 4 Rh 3.03


No. 6
The following is a DFT calculation (PBE) of a relaxed TaHgOs2 crystal.

- size of the total moment (μB/f.u.) = 0.0
- ΔE_f (meV per atom) = 390
- final energy (eV/atom) = -8.263
- density (Mg/m³) = 18.82
- calculated volume (Å³ per atom) = 16.81
- Fermi-level density of states (states/eV per cell) = 12.16

abc: 2.8506 2.8506 28.6576
angles: 90.00 90.00 120.00
Closest atoms and distances in Å follow each position.
Fractional coordinates of all 12 atoms:
Ta: 0.0000 0.0000 0.0000  6 Ta 2.85, 3 Os 2.87, 3 Hg 3.10
Ta: 0.3333 0.6667 0.6667  6 Ta 2.85, 3 Os 2.87, 3 Hg 3.10
Ta: 0.6667 0.3333 0.3333  6 Ta 2.85, 3 Os 2.87, 3 Hg 3.10
Hg: 0.0000 0.0000 0.2417  6 Hg 2.85, 3 Os 3.01, 3 Ta 3.10
Hg: 0.3333 0.6667 0.9084  6 Hg 2.85, 3 Os 3.01, 3 Ta 3.10
Hg: 0.6667 0.3333 0.5750  6 Hg 2.85, 3 Os 3.01, 3 Ta 3.10
Os: 0.0000 0.0000 0.4871  9 Os 2.63-2.85
Os: 0.0000 0.0000 0.7488  9 Os 2.63-2.85, 3 Ta 2.87
Os: 0.3333 0.6667 0.1538  9 Os 2.63-2.85
Os: 0.3333 0.6667 0.4154  9 Os 2.63-2.85, 3 Ta 2.87
Os: 0.6667 0.3333 0.0821  9 Os 2.63-2.85, 3 Ta 2.87
Os: 0.6667 0.3333 0.8204  9 Os 2.63-2.85


No. 7
The following is a DFT calculation (PBE) of a relaxed Tb3Er6Tm2Tl crystal.

- size of the total moment (μB/f.u.) = 0.2
- ΔE_f (meV per atom) = -8
- final energy (eV/atom) = -4.389
- density (Mg/m³) = 9.31
- calculated volume (Å³ per atom) = 30.07
- Fermi-level density of states (states/eV per cell) = 17.04

abc: 6.0607 6.0607 11.5325
angles: 95.08 95.08 120.04
Closest atoms and distances in Å follow each position.
Fractional coordinates of all 12 atoms:
Tb: 0.0000 0.0000 0.0000  6 Tb 3.50, 6 Er 3.51-3.52
Tb: 0.3334 0.6666 0.0000  6 Tb 3.50, 6 Er 3.50-3.53
Tb: 0.6666 0.3334 0.0000  6 Tb 3.50, 6 Er 3.50-3.53
Er: 0.0890 0.4192 0.2542  1 Tl 3.43, 2 Tm 3.45-3.46, 6 Er 3.47-3.52, 3 Tb 3.52-3.53
Er: 0.2505 0.2505 0.7474  2 Tm 3.46, 1 Tl 3.46, 6 Er 3.47-3.52, 3 Tb 3.50-3.51
Er: 0.4192 0.0890 0.2542  1 Tl 3.43, 2 Tm 3.45-3.46, 6 Er 3.47-3.52, 3 Tb 3.52-3.53
Er: 0.5808 0.9110 0.7458  1 Tl 3.43, 2 Tm 3.45-3.46, 6 Er 3.47-3.52, 3 Tb 3.52-3.53
Er: 0.7495 0.7495 0.2526  2 Tm 3.46, 1 Tl 3.46, 6 Er 3.47-3.52, 3 Tb 3.50-3.51
Er: 0.9110 0.5808 0.7458  1 Tl 3.43, 2 Tm 3.45-3.46, 6 Er 3.47-3.52, 3 Tb 3.52-3.53
Tm: 0.1659 0.8341 0.5000  6 Er 3.45-3.46, 3 Tm 3.48-3.51, 3 Tl 3.49-3.51
Tm: 0.8341 0.1659 0.5000  6 Er 3.45-3.46, 3 Tm 3.48-3.51, 3 Tl 3.49-3.51
Tl: 0.5000 0.5000 0.5000  6 Er 3.43-3.46, 6 Tm 3.49-3.51


No. 8
The following is a DFT calculation (PBE) of a relaxed Pm3IrPb crystal.

- size of the total moment (μB/f.u.) = 0.0
- ΔE_f (meV per atom) = -390
- final energy (eV/atom) = -5.754
- density (Mg/m³) = 8.34
- calculated volume (Å³ per atom) = 33.23
- ΔE to the lowest computed polymorph (meV per atom) = 236
- Fermi-level density of states (states/eV per cell) = 5.86

abc: 5.4975 5.4975 5.4975
angles: 90.00 90.00 90.00
Closest atoms and distances in Å follow each position.
Fractional coordinates of all 5 atoms:
Pm: 0.0000 0.0000 0.5000  2 Ir 2.75
Pm: 0.0000 0.5000 0.0000  2 Ir 2.75
Pm: 0.5000 0.0000 0.0000  2 Ir 2.75
Ir: 0.0000 0.0000 0.0000  6 Pm 2.75
Pb: 0.5000 0.5000 0.5000  12 Pm 3.89


No. 9
The following is a DFT calculation (PBE) of a relaxed Sm2Al3Ga6 crystal.

- size of the total moment (μB/f.u.) = 0.0
- ΔE_f (meV per atom) = -252
- final energy (eV/atom) = -3.782
- density (Mg/m³) = 5.83
- calculated volume (Å³ per atom) = 20.72
- Fermi-level density of states (states/eV per cell) = 4.65

abc: 7.6757 7.6757 3.9473
angles: 90.00 90.00 101.52
Closest atoms and distances in Å follow each position.
Fractional coordinates of all 11 atoms:
Sm: 0.1934 0.8066 0.0000  12 Ga 3.25-3.60
Sm: 0.8066 0.1934 0.0000  12 Ga 3.25-3.60
Al: 0.3022 0.3022 0.0000  6 Ga 2.64-2.72, 2 Al 2.75
Al: 0.5000 0.5000 0.5000  4 Ga 2.65, 4 Al 2.75
Al: 0.6978 0.6978 0.0000  6 Ga 2.64-2.72, 2 Al 2.75
Ga: 0.1221 0.1221 0.5000  3 Ga 2.37-2.59, 2 Al 2.64
Ga: 0.1490 0.4641 0.5000  2 Ga 2.46-2.59, 3 Al 2.65-2.72
Ga: 0.4641 0.1490 0.5000  2 Ga 2.46-2.59, 3 Al 2.65-2.72
Ga: 0.5359 0.8510 0.5000  2 Ga 2.46-2.59, 3 Al 2.65-2.72
Ga: 0.8510 0.5359 0.5000  2 Ga 2.46-2.59, 3 Al 2.65-2.72
Ga: 0.8779 0.8779 0.5000  3 Ga 2.37-2.59, 2 Al 2.64


No. 10
The following is a DFT calculation (PBE) of a relaxed MgRuCl3 crystal.

- formation energy without anion corrections (meV per atom) = -283
- size of the total moment (μB/f.u.) = 3.0
- final energy (eV/atom) = -3.566
- density (Mg/m³) = 3.28
- calculated volume (Å³ per atom) = 23.45
- ΔE to the lowest computed polymorph (meV per atom) = 0
- Fermi-level density of states (states/eV per cell) = 2.44

abc: 4.8945 4.8945 4.8945
angles: 90.00 90.00 90.00
Closest atoms and distances in Å follow each position.
Fractional coordinates of all 5 atoms:
Mg: 0.0000 0.0000 0.0000  6 Cl 2.45
Ru: 0.5000 0.5000 0.5000  12 Cl 3.46
Cl: 0.0000 0.0000 0.5000  2 Mg 2.45
Cl: 0.0000 0.5000 0.0000  2 Mg 2.45
Cl: 0.5000 0.0000 0.0000  2 Mg 2.45


No. 11
The following is a DFT calculation (PBE) of a relaxed Pm4ZnSe2S crystal.

- formation energy without anion corrections (meV per atom) = -1494
- size of the total moment (μB/f.u.) = 0.0
- final energy (eV/atom) = -5.415
- density (Mg/m³) = 6.75
- calculated volume (Å³ per atom) = 25.68
- Fermi-level density of states (states/eV per cell) = 3.18

abc: 7.2532 4.1013 7.2947
angles: 90.00 108.76 90.00
Closest atoms and distances in Å follow each position.
Fractional coordinates of all 8 atoms:
Pm: 0.2425 0.0000 0.2391  2 S 2.89, 1 Zn 2.94, 3 Se 2.98-3.00
Pm: 0.2482 0.5000 0.7540  1 S 2.92, 2 Zn 2.94, 3 Se 2.96-2.99
Pm: 0.7518 0.5000 0.2460  1 S 2.92, 2 Zn 2.94, 3 Se 2.96-2.99
Pm: 0.7575 0.0000 0.7609  2 S 2.89, 1 Zn 2.94, 3 Se 2.98-3.00
Zn: 0.5000 0.0000 0.0000  6 Pm 2.94
Se: 0.0000 0.0000 0.5000  6 Pm 2.96-2.98
Se: 0.5000 0.5000 0.5000  6 Pm 2.99-3.00
S: 0.0000 0.5000 0.0000  6 Pm 2.89-2.92


No. 12
The following is a DFT calculation (PBE) of a relaxed PuHg2ClO4 crystal.

- formation energy without anion corrections (meV per atom) = -1280
- size of the total moment (μB/f.u.) = 2.2
- final energy (eV/atom) = -5.857
- density (Mg/m³) = 7.94
- calculated volume (Å³ per atom) = 19.47
- Fermi-level density of states (states/eV per cell) = 9.81

abc: 11.4200 3.6176 8.9982
angles: 90.00 123.06 90.00
Closest atoms and distances in Å follow each position.
Fractional coordinates of all 16 atoms:
Pu: 0.0000 0.0000 0.0000  2 O 1.81
Pu: 0.5000 0.5000 0.0000  2 O 1.81
Hg: 0.1612 0.0000 0.7621  1 O 2.21
Hg: 0.3388 0.5000 0.2379  1 O 2.21
Hg: 0.6612 0.5000 0.7621  1 O 2.21
Hg: 0.8388 0.0000 0.2379  1 O 2.21
Cl: 0.0000 0.5000 0.5000  4 Hg 2.74
Cl: 0.5000 0.0000 0.5000  4 Hg 2.74
O: 0.1034 0.0000 0.2402  1 Pu 1.81
O: 0.1252 0.5000 0.9974  1 Hg 2.21, 2 Pu 2.31
O: 0.3748 0.0000 0.0026  1 Hg 2.21, 2 Pu 2.31
O: 0.3966 0.5000 0.7598  1 Pu 1.81
O: 0.6034 0.5000 0.2402  1 Pu 1.81
O: 0.6252 0.0000 0.9974  1 Hg 2.21, 2 Pu 2.31
O: 0.8748 0.5000 0.0026  1 Hg 2.21, 2 Pu 2.31
O: 0.8966 0.0000 0.7598  1 Pu 1.81